Below is YW2IF after structural relaxation, with properties calculated at the PBE with a Hubbard U level.

## Properties
final energy	-3.6062	eV/atom
size of the total moment	9.03	Bohr magnetons per cell

Structure (extended XYZ):
```
5
Lattice="-3.524 4.994 0.592 -2.249 -0.966 -5.241 -4.426 -3.423 2.530" Properties=species:S:1:pos:R:3 pbc="T T T"
W -1.762 2.497 0.296
W -2.213 -1.712 1.265
F -5.100 0.302 -1.060
I -1.124 -0.483 -2.621
Y 0.000 0.000 0.000
```